# PBE-GGA LaPaC2, relaxed
# Crystal system: orthorhombic
# Formation energy from the elements, eV/atom: -0.1779
# Excess energy over the best structure of this formula in the dataset, eV per atom: 0.028
# DOS(E_F), states/eV per cell: 4.47
# Uncorrected energy, eV/cell: -67.2
data_LaPaC2
_cell_length_a 3.598
_cell_length_b 6.269
_cell_length_c 6.307
_cell_angle_alpha 90.00
_cell_angle_beta 90.00
_cell_angle_gamma 90.00
_symmetry_space_group_name_H-M 'P m m n'
_symmetry_Int_Tables_number 59
loop_
_symmetry_equiv_pos_as_xyz
'x,y,z'
'-x,-y,-z'
'-x+1/2,-y+1/2,z'
'x+1/2,y+1/2,-z'
'x+1/2,-y,-z'
'-x+1/2,y,z'
'-x,y+1/2,-z'
'x,-y+1/2,z'
loop_
_atom_site_label
_atom_site_type_symbol
_atom_site_fract_x
_atom_site_fract_y
_atom_site_fract_z
La1 La 0.250 0.250 0.092
Pa1 Pa 0.250 0.750 0.419
C1 C 0.250 0.006 0.708


# PBE-GGA Y3ErSc7, relaxed
# Crystal system: monoclinic
# Formation energy from the elements, eV/atom: 0.3098
# DOS(E_F), states/eV per cell: 34.98
# Uncorrected energy, eV/cell: -129.7
data_Y3ErSc7
_cell_length_a 12.094
_cell_length_b 10.435
_cell_length_c 5.449
_cell_angle_alpha 90.00
_cell_angle_beta 116.69
_cell_angle_gamma 90.00
_symmetry_space_group_name_H-M 'C 1 2/m 1'
_symmetry_Int_Tables_number 12
loop_
_symmetry_equiv_pos_as_xyz
'x,y,z'
'-x,-y,-z'
'-x,y,-z'
'x,-y,z'
'x+1/2,y+1/2,z'
'-x+1/2,-y+1/2,-z'
'-x+1/2,y+1/2,-z'
'x+1/2,-y+1/2,z'
loop_
_atom_site_label
_atom_site_type_symbol
_atom_site_fract_x
_atom_site_fract_y
_atom_site_fract_z
Y1 Y 0.000 0.000 0.000
Y2 Y 0.000 0.211 0.500
Er1 Er 0.000 0.500 0.000
Sc1 Sc 0.000 0.500 0.500
Sc2 Sc 0.210 0.000 0.709
Sc3 Sc 0.215 0.192 0.215


# PBE-GGA NaVS2Cl, relaxed
# Crystal system: tetragonal
# Excess energy over the best structure of this formula in the dataset, eV per atom: 0.000
# DOS(E_F), states/eV per cell: 1.98
# Uncorrected energy, eV/cell: -24.7
data_NaVS2Cl
_cell_length_a 4.564
_cell_length_b 4.564
_cell_length_c 5.146
_cell_angle_alpha 90.00
_cell_angle_beta 90.00
_cell_angle_gamma 90.00
_symmetry_space_group_name_H-M 'P 4/m m m'
_symmetry_Int_Tables_number 123
_symmetry_space_group_name_Hall '-P 4 2'
loop_
_atom_site_label
_atom_site_type_symbol
_atom_site_fract_x
_atom_site_fract_y
_atom_site_fract_z
Na1 Na 0.000 0.000 0.000
V1 V 0.500 0.500 0.500
S1 S 0.000 0.500 0.500
Cl1 Cl 0.500 0.500 0.000


# PBE-GGA AlCuNi, relaxed
# Crystal system: orthorhombic
# Formation energy from the elements, eV/atom: -0.0159
# Excess energy over the best structure of this formula in the dataset, eV per atom: 0.387
# DOS(E_F), states/eV per cell: 7.08
# Uncorrected energy, eV/cell: -54.7
data_AlCuNi
_cell_length_a 2.676
_cell_length_b 9.013
_cell_length_c 6.649
_cell_angle_alpha 90.00
_cell_angle_beta 90.00
_cell_angle_gamma 90.00
_symmetry_space_group_name_H-M 'P m m n'
_symmetry_Int_Tables_number 59
loop_
_symmetry_equiv_pos_as_xyz
'x,y,z'
'-x,-y,-z'
'-x+1/2,-y+1/2,z'
'x+1/2,y+1/2,-z'
'x+1/2,-y,-z'
'-x+1/2,y,z'
'-x,y+1/2,-z'
'x,-y+1/2,z'
loop_
_atom_site_label
_atom_site_type_symbol
_atom_site_fract_x
_atom_site_fract_y
_atom_site_fract_z
Al1 Al 0.250 0.097 0.134
Cu1 Cu 0.250 0.616 0.546
Ni1 Ni 0.250 0.120 0.774


# PBE-GGA Mg6Hg3Au, relaxed
# Crystal system: monoclinic
# Formation energy from the elements, eV/atom: -0.2823
# DOS(E_F), states/eV per cell: 5.07
# Uncorrected energy, eV/cell: -33.1
data_Mg6Hg3Au
_cell_length_a 8.565
_cell_length_b 4.833
_cell_length_c 10.467
_cell_angle_alpha 90.00
_cell_angle_beta 106.39
_cell_angle_gamma 90.00
_symmetry_space_group_name_H-M 'P 1 21/m 1'
_symmetry_Int_Tables_number 11
loop_
_symmetry_equiv_pos_as_xyz
'x,y,z'
'-x,-y,-z'
'-x,y+1/2,-z'
'x,-y+1/2,z'
loop_
_atom_site_label
_atom_site_type_symbol
_atom_site_fract_x
_atom_site_fract_y
_atom_site_fract_z
Mg1 Mg 0.045 0.250 0.413
Mg2 Mg 0.151 0.750 0.178
Mg3 Mg 0.273 0.250 0.999
Mg4 Mg 0.355 0.750 0.824
Mg5 Mg 0.361 0.250 0.305
Mg6 Mg 0.411 0.250 0.614
Hg1 Hg 0.027 0.750 0.885
Hg2 Hg 0.130 0.250 0.706
Hg3 Hg 0.284 0.750 0.474
Au1 Au 0.441 0.750 0.120


# PBE-GGA PaVRe2, relaxed
# Crystal system: cubic
# Formation energy from the elements, eV/atom: 0.0788
# Excess energy over the best structure of this formula in the dataset, eV per atom: 0.100
# DOS(E_F), states/eV per cell: 14.38
# Uncorrected energy, eV/cell: -172.8
data_PaVRe2
_cell_length_a 6.518
_cell_length_b 6.518
_cell_length_c 6.518
_cell_angle_alpha 90.00
_cell_angle_beta 90.00
_cell_angle_gamma 90.00
_symmetry_space_group_name_H-M 'F m -3 m'
_symmetry_Int_Tables_number 225
_symmetry_space_group_name_Hall '-F 4 2 3'
loop_
_atom_site_label
_atom_site_type_symbol
_atom_site_fract_x
_atom_site_fract_y
_atom_site_fract_z
Pa1 Pa 0.000 0.000 0.000
V1 V 0.000 0.000 0.500
Re1 Re 0.250 0.250 0.250